1.
A plane-wave DFT calculation with PBE was carried out for Cu5Ni6Pd after structural relaxation.

Unit cell a=3.5822 b=7.2961 c=6.7241 alpha=122.86 beta=105.43 gamma=90.00
Fractional positions:
Pd 0.0000 0.0000 0.0000
Ni 0.5000 0.2558 0.0000
Ni 0.1683 0.4211 0.3367
Ni 0.8316 0.0844 0.6633
Ni 0.8317 0.5789 0.6633
Cu 0.3336 0.3336 0.6671
Cu 0.6708 0.1710 0.3421
Cu 0.0000 0.5000 0.0000
Ni 0.5000 0.7442 0.0000
Cu 0.3292 0.8290 0.6579
Cu 0.6664 0.6664 0.3329
Ni 0.1684 0.9156 0.3367

Computed properties:
Density of states at the Fermi level   18.053 states/eV per cell
Symmetry   Immm, No. 71
DFT total energy   -4.98 eV per atom

2.
A plane-wave DFT calculation with PBE was carried out for Cu2Ni3Pd4 after structural relaxation.

Unit cell a=2.6995 b=7.1916 c=6.9869 alpha=115.23 beta=101.14 gamma=90.00
Fractional positions:
Pd 0.8089 0.6831 0.6179
Pd 0.5190 0.3283 0.0381
Ni 0.0000 0.0000 0.0000
Pd 0.4810 0.6717 0.9619
Ni 0.8544 0.3291 0.7089
Cu 0.6684 0.9886 0.3369
Ni 0.1456 0.6709 0.2911
Cu 0.3316 0.0114 0.6631
Pd 0.1911 0.3169 0.3821

Computed properties:
ΔE to the lowest computed polymorph   0.000 eV per atom
Density of states at the Fermi level   13.228 states/eV per cell
Symmetry   C2/m, No. 12
DFT total energy   -5.11 eV per atom

3.
A plane-wave DFT calculation with PBE was carried out for Cu2NiPd after structural relaxation.

Unit cell a=2.9294 b=2.9294 c=5.8630 alpha=90.00 beta=90.00 gamma=90.00
Fractional positions:
Ni 0.5000 0.5000 0.5000
Pd 0.5000 0.5000 0.0000
Cu 0.0000 0.0000 0.2730
Cu 0.0000 0.0000 0.7270

Computed properties:
Density of states at the Fermi level   6.169 states/eV per cell
Symmetry   P4/mmm, No. 123
DFT total energy   -4.80 eV per atom

4.
A plane-wave DFT calculation with PBE was carried out for Cu5Ni2Pd after structural relaxation.

Unit cell a=3.6392 b=8.1436 c=6.8284 alpha=83.31 beta=105.45 gamma=90.00
Fractional positions:
Ni 0.3708 0.1296 0.2416
Cu 0.0662 0.6872 0.6323
Cu 0.9338 0.3128 0.3677
Pd 0.5000 0.5000 0.5000
Ni 0.8708 0.6296 0.2416
Ni 0.6292 0.8704 0.7584
Cu 0.1901 0.0617 0.8802
Cu 0.7500 0.2500 0.0000
Cu 0.8099 0.9383 0.1198
Cu 0.5662 0.1872 0.6323
Cu 0.3099 0.4383 0.1198
Cu 0.2500 0.7500 0.0000
Cu 0.6901 0.5617 0.8802
Ni 0.1292 0.3704 0.7584
Cu 0.4338 0.8128 0.3677
Pd 0.0000 0.0000 0.5000

Computed properties:
ΔE to the lowest computed polymorph   0.000 eV per atom
Density of states at the Fermi level   15.227 states/eV per cell
Symmetry   C2/m, No. 12
DFT total energy   -4.65 eV per atom

5.
A plane-wave DFT calculation with PBE was carried out for Cu15Ni4Pd after structural relaxation.

Unit cell a=3.6351 b=3.6351 c=17.9382 alpha=90.00 beta=90.00 gamma=90.00
Fractional positions:
Ni 0.0000 0.0000 0.7952
Ni 0.0000 0.0000 0.2048
Cu 0.5000 0.0000 0.3033
Cu 0.0000 0.5000 0.6967
Cu 0.0000 0.5000 0.8933
Cu 0.5000 0.5000 0.2051
Pd 0.0000 0.0000 0.0000
Ni 0.0000 0.0000 0.4017
Cu 0.5000 0.5000 0.5984
Cu 0.5000 0.5000 0.0000
Cu 0.5000 0.5000 0.7949
Cu 0.0000 0.5000 0.5000
Cu 0.5000 0.5000 0.4016
Cu 0.0000 0.5000 0.1067
Cu 0.5000 0.0000 0.5000
Ni 0.0000 0.0000 0.5983
Cu 0.0000 0.5000 0.3033
Cu 0.5000 0.0000 0.8933
Cu 0.5000 0.0000 0.1067
Cu 0.5000 0.0000 0.6967

Computed properties:
Density of states at the Fermi level   9.602 states/eV per cell
Symmetry   P4/mmm, No. 123
DFT total energy   -4.50 eV per atom

6.
A plane-wave DFT calculation with PBE was carried out for Cu6NiPd12 after structural relaxation.

Unit cell a=6.6578 b=7.1979 c=7.1979 alpha=69.06 beta=72.04 gamma=107.96
Fractional positions:
Cu 0.6329 0.2118 0.3162
Pd 0.2072 0.7330 0.1105
Pd 0.6823 0.8895 0.8435
Pd 0.2612 0.4236 0.6302
Cu 0.3671 0.7882 0.6838
Ni 0.0000 0.0000 0.0000
Pd 0.7928 0.2670 0.8895
Pd 0.1086 0.3698 0.0537
Pd 0.3177 0.1105 0.1565
Pd 0.8914 0.6302 0.9463
Cu 0.5789 0.5280 0.7882
Pd 0.8377 0.9463 0.4236
Cu 0.9491 0.3162 0.4720
Pd 0.4742 0.1565 0.7330
Pd 0.1623 0.0537 0.5764
Cu 0.4211 0.4720 0.2118
Pd 0.7388 0.5764 0.3698
Pd 0.5258 0.8435 0.2670
Cu 0.0509 0.6838 0.5280

Computed properties:
ΔE to the lowest computed polymorph   0.000 eV per atom
Density of states at the Fermi level   26.393 states/eV per cell
Symmetry   R-3, No. 148
DFT total energy   -4.93 eV per atom